This record from Alexandria describes an optimized crystal structure of SnP2Ir2. The functional is PBE.

Values from the calculation:
Magnetization: 0.00 μB per cell
Energy: -6.6141 eV per atom

abc: 4.263 4.263 9.699
angles: 90.00 90.00 90.00
Space group I4/mmm (No. 139)
Asymmetric unit:
Sn (0.000, 0.000, 0.000) [2 per cell]
P (0.000, 0.500, 0.250) [4 per cell]
Ir (0.000, 0.000, 0.358) [4 per cell]